CaScIn | GGA-PBE | relaxed

a = 5.042 Å, b = 3.762 Å, c = 8.868 Å
α = 90.00°, β = 90.00°, γ = 90.00°
Site moments in Bohr magnetons follow the coordinates.
Fractional positions:
Sc1 0.117 0.802 0.258  -0.05
Ca1 0.617 0.802 0.670  0.01
In1 0.617 0.802 0.056  0.01
In2 0.117 0.302 0.542  -0.01
Sc2 0.617 0.302 0.340  0.07
Ca2 0.117 0.302 0.928  -0.01

ΔH_f (0 K), kJ/mol of formula units: -87
Density, g/cm3: 3.95
Polymorph energy (0 for the lowest one), eV/atom: 0.024
D(E_F), states/eV per cell: 5.5
VASP energy, eV for the cell shown: -23.95